(1)
VASP calculation (PBE) on crystalline TaTe3Au at its relaxed geometry.

energy relative to the lowest polymorph listed for this composition: 531 meV per atom
energy: -4.451 eV per atom
crystal system: cubic
formation energy without anion corrections: 2.30 eV per formula unit

Unit cell a=5.3723 b=5.3723 c=5.3723 alpha=90.00 beta=90.00 gamma=90.00
Atoms (fractional coordinates):
1 Te 0.0000 0.5000 0.0000
2 Te 0.0000 0.0000 0.5000
3 Te 0.5000 0.0000 0.0000
4 Au 0.5000 0.5000 0.5000
5 Ta 0.0000 0.0000 0.0000

---

(2)
VASP calculation (PBE) on crystalline CoSnTe2 at its relaxed geometry.

energy: -3.933 eV per atom
crystal system: trigonal
formation energy without anion corrections: 1.66 eV per formula unit

Unit cell a=8.6659 b=8.6659 c=8.6659 alpha=29.77 beta=29.77 gamma=29.77
Atoms (fractional coordinates):
1 Te 0.0983 0.0983 0.0983
2 Te 0.9017 0.9017 0.9017
3 Co 0.0000 0.0000 0.0000
4 Sn 0.5000 0.5000 0.5000

---

(3)
VASP calculation (PBE) on crystalline IrOsRuN2 at its relaxed geometry.

energy: -7.868 eV per atom
crystal system: tetragonal
formation energy without anion corrections: 6.68 eV per formula unit

Unit cell a=3.7282 b=5.4598 c=3.7282 alpha=90.00 beta=90.00 gamma=90.00
Atoms (fractional coordinates):
1 Ru 0.5000 0.5000 0.5000
2 Ir 0.0000 0.5000 0.0000
3 Os 0.0000 0.0000 0.0000
4 N 0.0000 0.0000 0.5000
5 N 0.5000 0.0000 0.0000

---

(4)
VASP calculation (PBE) on crystalline ZnMo at its relaxed geometry.

energy relative to the lowest polymorph listed for this composition: 172 meV per atom
energy: -5.819 eV per atom
crystal system: cubic

Unit cell a=4.4123 b=4.4123 c=4.4123 alpha=60.00 beta=60.00 gamma=60.00
Atoms (fractional coordinates):
1 Mo 0.3750 0.3750 0.3750
2 Mo 0.6250 0.6250 0.6250
3 Zn 0.1250 0.1250 0.1250
4 Zn 0.8750 0.8750 0.8750

---

(5)
VASP calculation (PBE) on crystalline AgCl2 at its relaxed geometry.

energy: -1.950 eV per atom
crystal system: hexagonal
formation energy without anion corrections: 0.70 eV per formula unit

Unit cell a=5.5077 b=5.5077 c=13.2399 alpha=90.00 beta=90.00 gamma=120.00
Atoms (fractional coordinates):
1 Ag 0.3333 0.6667 0.9149
2 Ag 0.6667 0.3333 0.4149
3 Ag 0.6667 0.3333 0.0851
4 Ag 0.3333 0.6667 0.5851
5 Cl 0.0000 0.0000 0.0000
6 Cl 0.0000 0.0000 0.5000
7 Cl 0.8376 0.6753 0.2500
8 Cl 0.1624 0.3247 0.7500
9 Cl 0.3247 0.1624 0.2500
10 Cl 0.8376 0.1624 0.2500
11 Cl 0.1624 0.8376 0.7500
12 Cl 0.6753 0.8376 0.7500

---

(6)
VASP calculation (PBE) on crystalline La5NdTe6 at its relaxed geometry.

energy: -5.591 eV per atom
crystal system: monoclinic
formation energy without anion corrections: -18.84 eV per formula unit

Unit cell a=7.9129 b=7.8974 c=7.9213 alpha=60.10 beta=80.36 gamma=70.37
Atoms (fractional coordinates):
1 Te 0.7523 0.0822 0.3309
2 Te 0.2477 0.5869 0.3309
3 Te 0.2498 0.2470 0.0000
4 Te 0.7502 0.7530 0.0000
5 Te 0.7523 0.4131 0.6691
6 Te 0.2477 0.9178 0.6691
7 Nd 0.0000 0.0000 0.0000
8 La 0.5000 0.1679 0.6641
9 La 0.0000 0.3341 0.3318
10 La 0.5000 0.5000 0.0000
11 La 0.0000 0.6659 0.6682
12 La 0.5000 0.8321 0.3359

---

(7)
VASP calculation (PBE) on crystalline HoInNi5Ge2 at its relaxed geometry.

energy: -5.236 eV per atom
crystal system: tetragonal

Unit cell a=4.3029 b=4.3029 c=7.5204 alpha=90.00 beta=90.00 gamma=90.00
Atoms (fractional coordinates):
1 Ho 0.0000 0.0000 0.5000
2 In 0.0000 0.0000 0.0000
3 Ni 0.0000 0.5000 0.2789
4 Ni 0.5000 0.0000 0.2789
5 Ni 0.0000 0.5000 0.7211
6 Ni 0.5000 0.0000 0.7211
7 Ni 0.5000 0.5000 0.5000
8 Ge 0.5000 0.5000 0.1644
9 Ge 0.5000 0.5000 0.8356

---

(8)
VASP calculation (PBE) on crystalline NbBiP2H at its relaxed geometry.

energy: -5.506 eV per atom
crystal system: tetragonal

Unit cell a=4.9425 b=3.7673 c=4.9425 alpha=90.00 beta=90.00 gamma=90.00
Atoms (fractional coordinates):
1 P 0.0000 0.0000 0.5000
2 P 0.5000 0.0000 0.0000
3 Nb 0.0000 0.0000 0.0000
4 Bi 0.5000 0.5000 0.5000
5 H 0.0000 0.5000 0.0000

---

(9)
VASP calculation (PBE) on crystalline NaY2ZnN at its relaxed geometry.

energy: -5.253 eV per atom
crystal system: tetragonal
formation energy without anion corrections: -2.42 eV per formula unit

Unit cell a=4.7191 b=4.7191 c=4.8334 alpha=90.00 beta=90.00 gamma=90.00
Atoms (fractional coordinates):
1 Y 0.0000 0.5000 0.0000
2 Y 0.5000 0.0000 0.0000
3 Na 0.0000 0.0000 0.5000
4 Zn 0.5000 0.5000 0.5000
5 N 0.0000 0.0000 0.0000

---

(10)
VASP calculation (PBE) on crystalline ScBe4Co2 at its relaxed geometry.

energy: -5.326 eV per atom
crystal system: orthorhombic

Unit cell a=4.6229 b=4.5983 c=4.5984 alpha=75.44 beta=59.83 gamma=59.83
Atoms (fractional coordinates):
1 Sc 0.0000 0.0000 0.0000
2 Be 0.6866 0.6270 0.9996
3 Be 0.3134 0.3730 0.0004
4 Be 0.6866 0.9996 0.6269
5 Be 0.3134 0.0004 0.3731
6 Co 0.7497 0.5000 0.5000
7 Co 0.2503 0.5000 0.5000

---

(11)
VASP calculation (PBE) on crystalline Y3Os at its relaxed geometry.

energy: -7.393 eV per atom
crystal system: cubic

Unit cell a=5.4552 b=5.4552 c=5.4552 alpha=90.00 beta=90.00 gamma=90.00
Atoms (fractional coordinates):
1 Os 0.0000 0.0000 0.0000
2 Y 0.5000 0.0000 0.0000
3 Y 0.0000 0.5000 0.0000
4 Y 0.0000 0.0000 0.5000

---

(12)
VASP calculation (PBE) on crystalline USbPtAu at its relaxed geometry.

energy: -6.534 eV per atom
crystal system: cubic
formation energy without anion corrections: -1.41 eV per formula unit

Unit cell a=4.9294 b=4.9294 c=4.9294 alpha=60.00 beta=60.00 gamma=60.00
Atoms (fractional coordinates):
1 Au 0.2500 0.2500 0.2500
2 U 0.5000 0.5000 0.5000
3 Pt 0.7500 0.7500 0.7500
4 Sb 0.0000 0.0000 0.0000

---

(13)
VASP calculation (PBE) on crystalline HfCrCuS4 at its relaxed geometry.

energy relative to the lowest polymorph listed for this composition: 64 meV per atom
energy: -6.679 eV per atom
crystal system: monoclinic
formation energy without anion corrections: -6.57 eV per formula unit

Unit cell a=3.5638 b=6.1785 c=13.0044 alpha=72.90 beta=90.00 gamma=90.00
Atoms (fractional coordinates):
1 Hf 0.2500 0.2560 0.4999
2 Hf 0.7500 0.7440 0.5001
3 Cr 0.2500 0.2723 0.9872
4 Cr 0.7500 0.7277 0.0128
5 Cu 0.7500 0.8842 0.8015
6 Cu 0.2500 0.1158 0.1985
7 S 0.7500 0.4940 0.8910
8 S 0.7500 0.0078 0.6207
9 S 0.2500 0.9922 0.3793
10 S 0.2500 0.5060 0.1090
11 S 0.2500 0.9770 0.8978
12 S 0.2500 0.5095 0.6202
13 S 0.7500 0.4905 0.3798
14 S 0.7500 0.0230 0.1022

---

(14)
VASP calculation (PBE) on crystalline Th3Co2AgGe6 at its relaxed geometry.

energy: -5.703 eV per atom
crystal system: trigonal

Unit cell a=6.1986 b=6.1986 c=7.6548 alpha=90.00 beta=90.00 gamma=120.00
Atoms (fractional coordinates):
1 Th 0.3333 0.6667 0.6548
2 Th 0.6667 0.3333 0.3452
3 Th 0.0000 0.0000 0.0000
4 Co 0.6667 0.3333 0.9816
5 Co 0.3333 0.6667 0.0184
6 Ag 0.0000 0.0000 0.5000
7 Ge 0.6097 0.8049 0.2770
8 Ge 0.1951 0.3903 0.2770
9 Ge 0.1951 0.8049 0.2770
10 Ge 0.8049 0.6097 0.7230
11 Ge 0.3903 0.1951 0.7230
12 Ge 0.8049 0.1951 0.7230

---

(15)
VASP calculation (PBE) on crystalline Al3ZnAu at its relaxed geometry.

energy relative to the lowest polymorph listed for this composition: 0 meV per atom
energy: -2.839 eV per atom
crystal system: cubic

Unit cell a=4.8890 b=4.8890 c=4.8890 alpha=90.00 beta=90.00 gamma=90.00
Atoms (fractional coordinates):
1 Zn 0.5000 0.5000 0.5000
2 Au 0.0000 0.0000 0.0000
3 Al 0.0000 0.5000 0.0000
4 Al 0.0000 0.0000 0.5000
5 Al 0.5000 0.0000 0.0000

---

(16)
VASP calculation (PBE) on crystalline Mn4Cr2Re3 at its relaxed geometry.

energy: -10.282 eV per atom
crystal system: monoclinic

Unit cell a=4.1878 b=4.9025 c=7.6552 alpha=120.76 beta=90.00 gamma=115.28
Atoms (fractional coordinates):
1 Mn 0.6639 0.3278 0.9967
2 Mn 0.3361 0.6722 0.0033
3 Mn 0.9949 0.9898 0.6638
4 Mn 0.0051 0.0102 0.3362
5 Cr 0.6680 0.3360 0.3314
6 Cr 0.3320 0.6640 0.6686
7 Re 0.6687 0.3374 0.6638
8 Re 0.0000 0.0000 0.0000
9 Re 0.3313 0.6626 0.3362

---

(17)
VASP calculation (PBE) on crystalline Ta2ZnNiS at its relaxed geometry.

energy: -5.649 eV per atom
crystal system: tetragonal
formation energy without anion corrections: 6.64 eV per formula unit

Unit cell a=4.7644 b=4.1565 c=4.7644 alpha=90.00 beta=90.00 gamma=90.00
Atoms (fractional coordinates):
1 Ni 0.0000 0.5000 0.0000
2 Zn 0.0000 0.0000 0.0000
3 S 0.5000 0.5000 0.5000
4 Ta 0.0000 0.0000 0.5000
5 Ta 0.5000 0.0000 0.0000

---

(18)
VASP calculation (PBE) on crystalline Tb2PrCuSe5 at its relaxed geometry.

energy: -5.470 eV per atom
crystal system: orthorhombic
formation energy without anion corrections: -13.67 eV per formula unit

Unit cell a=3.9971 b=9.8219 c=11.6459 alpha=90.00 beta=90.00 gamma=101.74
Atoms (fractional coordinates):
1 Tb 0.8902 0.7804 0.8096
2 Tb 0.0905 0.1810 0.6828
3 Tb 0.1098 0.2196 0.3096
4 Tb 0.9095 0.8190 0.1828
5 Pr 0.8061 0.6122 0.5095
6 Pr 0.1939 0.3878 0.0095
7 Cu 0.5680 0.1359 0.9511
8 Cu 0.4320 0.8641 0.4511
9 Se 0.3595 0.7191 0.0047
10 Se 0.6711 0.3421 0.8256
11 Se 0.4966 0.9932 0.7814
12 Se 0.3022 0.6043 0.6970
13 Se 0.9544 0.9088 0.5622
14 Se 0.6405 0.2809 0.5047
15 Se 0.3289 0.6579 0.3256
16 Se 0.5034 0.0068 0.2814
17 Se 0.6978 0.3957 0.1970
18 Se 0.0456 0.0912 0.0622

---

(19)
VASP calculation (PBE) on crystalline RbTeOsAu2 at its relaxed geometry.

energy: -2.997 eV per atom
crystal system: tetragonal
formation energy without anion corrections: 6.91 eV per formula unit

Unit cell a=5.3036 b=7.0617 c=5.3036 alpha=90.00 beta=90.00 gamma=90.00
Atoms (fractional coordinates):
1 Os 0.5000 0.5000 0.5000
2 Te 0.0000 0.0000 0.0000
3 Au 0.0000 0.0000 0.5000
4 Au 0.5000 0.0000 0.0000
5 Rb 0.0000 0.5000 0.0000